The following is a PBE calculation of ZrSiPb2 after structural relaxation, from Alexandria via LeMat-Bulk.

Values from the calculation:
Its space group is No. 119. The size of the total moment is 0.0 μB/f.u. The formation energy without anion corrections comes out at 0.190 eV per atom.

```
data_ZrSiPb2
_chemical_formula_sum 'Zr1 Si1 Pb2'
_symmetry_space_group_name_H-M 'P 1'
_symmetry_Int_Tables_number 1
_cell_length_a 5.921
_cell_length_b 5.921
_cell_length_c 5.921
_cell_angle_alpha 137.09
_cell_angle_beta 137.09
_cell_angle_gamma 62.30
loop_
_symmetry_equiv_pos_as_xyz
'x,y,z'
loop_
_atom_site_label
_atom_site_type_symbol
_atom_site_fract_x
_atom_site_fract_y
_atom_site_fract_z
Pb1 Pb 0.000 0.000 0.000
Pb2 Pb 0.250 0.750 0.500
Si1 Si 0.500 0.500 0.000
Zr1 Zr 0.750 0.250 0.500
```